Here is an optimized crystal structure of YReMo2 from Alexandria via LeMat-Bulk. Energies are from GGA-PBEsol.

a b c (Å): 3.841 3.841 4.718
angles (deg): 90.00 90.00 90.00
Positions (direct):
Y1 0.000 0.000 0.000
Re1 0.500 0.500 0.000
Mo1 0.000 0.500 0.500
Mo2 0.500 0.000 0.500

Computed properties:
Distance to the lowest polymorph of the same formula, eV/atom: 0.3314
Energy of formation, eV per atom: 0.649
E, eV/atom: -10.2736



Here is an optimized crystal structure of YReMo2 from Alexandria via LeMat-Bulk. Energies are from GGA-PBEsol.

a b c (Å): 2.803 2.803 9.241
angles (deg): 90.00 90.00 110.81
Positions (direct):
Y1 0.000 0.000 0.000
Re1 0.500 0.500 0.732
Mo1 0.000 0.000 0.506
Mo2 0.500 0.500 0.279

Computed properties:
Distance to the lowest polymorph of the same formula, eV/atom: 0.0000
Energy of formation, eV per atom: 0.318
E, eV/atom: -10.6049



Here is an optimized crystal structure of Y2ReMo from Alexandria via LeMat-Bulk. Energies are from GGA-PBEsol.

a b c (Å): 2.946 2.946 9.438
angles (deg): 90.00 90.00 109.20
Positions (direct):
Y1 0.000 0.000 0.242
Y2 0.000 0.000 0.758
Re1 0.500 0.500 0.000
Mo1 0.500 0.500 0.500

Computed properties:
Energy of formation, eV per atom: 0.558
E, eV/atom: -9.1280



Here is an optimized crystal structure of YReMo2 from Alexandria via LeMat-Bulk. Energies are from GGA-PBEsol.

a b c (Å): 2.847 4.446 5.439
angles (deg): 90.00 99.86 90.00
Positions (direct):
Y1 0.000 0.000 0.000
Re1 0.262 0.500 0.729
Mo1 0.512 0.000 0.504
Mo2 0.747 0.500 0.269

Computed properties:
Distance to the lowest polymorph of the same formula, eV/atom: 0.0257
Energy of formation, eV per atom: 0.343
E, eV/atom: -10.5793



no.,M_tot (μB/f.u.),DOS at the Fermi energy (states/eV/atom)
1,0.0,0.813
2,0.0,0.786
3,0.0,1.175
4,0.0,0.933